# 1
4
Lattice="0.000 3.262 3.262 3.262 0.000 3.262 3.262 3.262 0.000" Properties=species:S:1:pos:R:3 comment="PBE TiSnRhAu, relaxed" total_magnetization_mub_per_cell=0.0 e_form_ev_per_fu=-1.5 sg=F-43m e_tot_ev_per_atom=-6.007 pbc="T T T"
Ti 0.000 0.000 0.000
Sn 3.262 3.262 3.262
Rh 1.631 1.631 1.631
Au 4.893 4.893 4.893

# 2
6
Lattice="3.516 -2.024 0.000 3.516 2.024 0.000 -2.632 0.000 7.375" Properties=species:S:1:pos:R:3 comment="PBE MgPH, relaxed" total_magnetization_mub_per_cell=0.0 relative_energy_mev_per_atom=0 sg=C2 e_tot_ev_per_atom=-3.821 pbc="T T T"
Mg -0.140 0.000 2.546
Mg 4.540 0.000 4.828
P 3.516 1.571 0.000
P 2.200 -0.015 3.687
H -0.150 0.588 7.277
H 4.550 0.588 0.097

# 3
4
Lattice="3.759 0.000 0.000 0.000 3.759 0.000 0.000 0.000 3.230" Properties=species:S:1:pos:R:3 comment="PBE Be2AlRe, relaxed" total_magnetization_mub_per_cell=0.0 e_form_ev_per_fu=-0.3 sg=P4/mmm e_tot_ev_per_atom=-5.983 pbc="T T T"
Be 0.000 1.879 0.000
Be 1.879 0.000 0.000
Al 0.000 0.000 1.615
Re 1.879 1.879 1.615